Record 1
Entry from Alexandria: an optimized crystal structure of Na2Tl2O3 (PBE).

Structure (POSCAR):
```
Na2Tl2O3
1.0
3.571 0.000 0.000
0.000 5.744 -0.744
-1.785 -2.631 5.908
O Na Tl
3 2 2
Direct
0.278 0.744 0.555
0.000 0.500 0.000
0.722 0.256 0.445
0.636 0.778 0.272
0.364 0.222 0.728
0.888 0.714 0.775
0.112 0.286 0.225
```

Values from the calculation:
Fermi-level density of states ... 1.4 states/eV/cell
Formation energy from raw total energies ... -954 meV/atom

***

Record 2
Entry from Alexandria: an optimized crystal structure of NaTl3O2 (PBE).

Structure (POSCAR):
```
NaTl3O2
1.0
-0.147 1.483 3.150
-5.377 -7.605 1.403
9.239 -2.539 1.627
O Tl Na
4 6 2
Direct
0.111 0.221 0.782
0.889 0.779 0.218
0.592 0.184 0.446
0.408 0.816 0.554
0.659 0.317 0.961
0.911 0.821 0.733
0.812 0.624 0.383
0.089 0.179 0.267
0.188 0.376 0.617
0.341 0.683 0.039
0.456 0.912 0.356
0.544 0.088 0.644
```

Values from the calculation:
Formation energy from raw total energies ... -744 meV/atom

***

Record 3
Entry from Alexandria: an optimized crystal structure of NaTlO (PBE).

Structure (POSCAR):
```
NaTlO
1.0
3.550 0.000 0.000
-1.775 3.074 0.000
0.000 0.000 11.597
Tl O Na
2 2 2
Direct
0.333 0.667 0.115
0.667 0.333 0.615
0.000 0.000 0.990
0.000 0.000 0.490
0.667 0.333 0.895
0.333 0.667 0.395
```

Values from the calculation:
Formation energy from raw total energies ... -946 meV/atom
Energy relative to the lowest polymorph listed for this composition ... 19 meV per atom

***

Record 4
Entry from Alexandria: an optimized crystal structure of Na3TlO (PBE).

Structure (POSCAR):
```
Na3TlO
1.0
5.847 0.000 0.000
0.000 5.847 0.000
0.000 0.000 5.847
Na O Tl
3 1 1
Direct
0.000 0.500 0.000
0.000 0.000 0.500
0.500 0.000 0.000
0.500 0.500 0.500
0.000 0.000 0.000
```

Values from the calculation:
Fermi-level density of states ... 6.4 states/eV/cell
Formation energy from raw total energies ... 491 meV/atom
Energy relative to the lowest polymorph listed for this composition ... 1187 meV per atom

***

Record 5
Entry from Alexandria: an optimized crystal structure of Na4TlO2 (PBE).

Structure (POSCAR):
```
Na4TlO2
1.0
-2.950 2.306 0.819
-3.564 -1.034 -0.957
-3.226 -4.030 8.693
Na O Tl
4 2 1
Direct
0.805 0.805 0.585
0.585 0.585 0.245
0.195 0.195 0.415
0.415 0.415 0.755
0.111 0.111 0.666
0.889 0.889 0.334
0.000 0.000 0.000
```

Values from the calculation:
Fermi-level density of states ... 1.0 states/eV/cell
Formation energy from raw total energies ... -953 meV/atom

***

Record 6
Entry from Alexandria: an optimized crystal structure of NaTl3O (PBE).

Structure (POSCAR):
```
NaTl3O
1.0
-3.486 4.199 -1.228
-0.676 -2.069 -5.153
-4.323 -3.063 1.796
Na Tl O
1 3 1
Direct
0.000 0.000 0.000
0.500 0.000 0.000
0.000 0.500 0.000
0.000 0.000 0.500
0.500 0.500 0.500
```

Values from the calculation:
Fermi-level density of states ... 1.3 states/eV/cell
Formation energy from raw total energies ... 654 meV/atom
Energy relative to the lowest polymorph listed for this composition ... 839 meV per atom

***

Record 7
Entry from Alexandria: an optimized crystal structure of Na3TlO (PBE).

Structure (POSCAR):
```
Na3TlO
1.0
-2.072 -4.049 1.194
3.470 -2.263 -1.653
4.322 3.540 10.242
Tl Na O
2 6 2
Direct
0.793 0.543 0.087
0.207 0.457 0.913
0.543 0.293 0.585
0.457 0.707 0.415
0.925 0.175 0.349
0.334 0.084 0.169
0.075 0.825 0.651
0.666 0.916 0.831
0.436 0.186 0.372
0.564 0.814 0.628
```

Values from the calculation:
Fermi-level density of states ... 3.6 states/eV/cell
Formation energy from raw total energies ... -697 meV/atom
Energy relative to the lowest polymorph listed for this composition ... 0 meV per atom

***

Record 8
Entry from Alexandria: an optimized crystal structure of Na3TmTl2O6 (PBE).

Structure (POSCAR):
```
Na3TmTl2O6
1.0
-0.617 -5.737 -0.993
3.777 1.875 4.061
-5.118 1.052 2.864
Na O Tl Tm
3 6 2 1
Direct
0.828 0.172 0.500
0.500 0.500 0.500
0.172 0.828 0.500
0.602 0.926 0.777
0.926 0.602 0.777
0.398 0.074 0.223
0.074 0.398 0.223
0.250 0.250 0.778
0.750 0.750 0.222
0.334 0.666 0.000
0.666 0.334 0.000
0.000 0.000 0.000
```

Values from the calculation:
Formation energy from raw total energies ... -1652 meV/atom

***

Record 9
Entry from Alexandria: an optimized crystal structure of Na2TmTlO4 (PBE).

Structure (POSCAR):
```
Na2TmTlO4
1.0
-1.983 -0.381 -2.719
-2.331 -4.777 2.370
-3.171 4.773 1.643
Na Tm O Tl
2 1 4 1
Direct
0.500 0.000 0.500
0.000 0.500 0.500
0.500 0.500 0.000
0.000 0.275 0.783
0.500 0.753 0.778
0.500 0.247 0.222
0.000 0.725 0.217
0.000 0.000 0.000
```

Values from the calculation:
Formation energy from raw total energies ... -1952 meV/atom

***

Record 10
Entry from Alexandria: an optimized crystal structure of Na4Tm3TlO8 (PBE).

Structure (POSCAR):
```
Na4Tm3TlO8
1.0
-3.040 -4.633 -3.823
-3.369 -2.300 5.467
-0.398 6.514 -1.651
Tm O Na Tl
3 8 4 1
Direct
0.500 0.500 0.500
0.000 0.500 0.500
0.500 0.500 0.000
0.244 0.718 0.973
0.735 0.705 0.470
0.756 0.282 0.027
0.271 0.282 0.027
0.729 0.718 0.973
0.244 0.718 0.488
0.756 0.282 0.512
0.265 0.295 0.530
0.000 0.000 0.500
0.000 0.000 0.000
0.500 0.000 0.500
0.500 0.000 0.000
0.000 0.500 0.000
```

Values from the calculation:
Fermi-level density of states ... 0.0 states/eV/cell
Formation energy from raw total energies ... -2406 meV/atom

***

Record 11
Entry from Alexandria: an optimized crystal structure of NaU3Tl4O12 (PBE).

Structure (POSCAR):
```
NaU3Tl4O12
1.0
7.604 0.000 0.000
-2.535 7.170 0.000
-2.535 -3.585 6.209
O Tl Na U
12 4 1 3
Direct
0.500 0.250 0.750
0.281 0.281 0.000
0.750 0.250 0.500
0.719 0.719 0.000
0.281 0.000 0.281
0.750 0.500 0.250
0.000 0.719 0.719
0.000 0.281 0.281
0.500 0.750 0.250
0.250 0.750 0.500
0.719 0.000 0.719
0.250 0.500 0.750
0.000 0.500 0.000
0.000 0.000 0.500
0.500 0.500 0.500
0.500 0.000 0.000
0.000 0.000 0.000
0.500 0.000 0.500
0.000 0.500 0.500
0.500 0.500 0.000
```

Values from the calculation:
Fermi-level density of states ... 13.9 states/eV/cell
Formation energy from raw total energies ... -2240 meV/atom